Compound: BaZrAlW2
Source: the Alexandria database
Functional: PBE-GGA
Structure: relaxed

Cell lengths 4.9369, 5.8906, 4.9369 Å; angles 90.00, 90.00, 90.00 degrees
Last column: nearest neighbours and their distance in Å.
Positions (direct):
Al  0.5000  0.5000  0.5000  4 Ba 3.49, 8 W 3.84
W  0.5000  0.0000  0.0000  2 Zr 2.47
W  0.0000  0.0000  0.5000  2 Zr 2.47
Ba  0.0000  0.5000  0.0000  2 Zr 2.95
Zr  0.0000  0.0000  0.0000  4 W 2.47

Output
Energy: -5.937 eV per atom
Space-group type: P4/mmm
M_tot: 0.0 Bohr magnetons per cell
ΔE_f: 10.43 eV/f.u.